Entry 1:
Computed, not measured: a relaxed InTcH2 crystal at the PBE level of DFT.

Output
The space group is Fm-3m, No. 225. The value obtained for the total energy is -4.0290 eV per atom. Its density of states at the Fermi level is 0.97 states/eV/f.u. The calculation puts the size of the total moment at 0.00 μB/f.u. The energy above the most stable polymorph in this dataset comes out at 625 meV/atom.

abc: 3.9084 3.9084 3.9084
angles: 60.00 60.00 60.00
Atoms (fractional coordinates):
1 H 0.2500 0.2500 0.2500
2 H 0.7500 0.7500 0.7500
3 Tc 0.0000 0.0000 0.0000
4 In 0.5000 0.5000 0.5000

Entry 2:
Computed, not measured: a relaxed InTc3H crystal at the PBE level of DFT.

Output
The space group is Pm-3m, No. 221. The value obtained for the total energy is -4.5322 eV per atom. Its density of states at the Fermi level is 8.15 states/eV/f.u. The calculation puts the size of the total moment at 9.00 μB/f.u. The energy above the most stable polymorph in this dataset comes out at 2592 meV/atom.

abc: 5.1091 5.1091 5.1091
angles: 90.00 90.00 90.00
Site moments in Bohr magnetons follow the coordinates.
Atoms (fractional coordinates):
1 H 0.5000 0.5000 0.5000  -0.07
2 Tc 0.0000 0.5000 0.0000  2.69
3 Tc 0.0000 0.0000 0.5000  2.75
4 Tc 0.5000 0.0000 0.0000  2.55
5 In 0.0000 0.0000 0.0000  -0.08

Entry 3:
Computed, not measured: a relaxed InTc2H2 crystal at the PBE level of DFT.

Output
The space group is I4/mmm, No. 139. The value obtained for the total energy is -5.8635 eV per atom. Its density of states at the Fermi level is 3.66 states/eV/f.u. The calculation puts the size of the total moment at 0.00 μB/f.u.

abc: 3.1752 3.1752 5.9018
angles: 74.39 74.39 90.00
Atoms (fractional coordinates):
1 H 0.7500 0.2500 0.5000
2 H 0.2500 0.7500 0.5000
3 Tc 0.3383 0.3383 0.3234
4 Tc 0.6617 0.6617 0.6766
5 In 0.0000 0.0000 0.0000